No. 1
Entry from Alexandria via LeMat-Bulk: a geometry-optimized FeSbAs2 structure (PBE-GGA).

Cell lengths 3.1763, 4.0211, 12.2629 Å; angles 90.00, 90.00, 90.00 degrees
With the nearest neighbours (Å) after each atom.
Space group Imm2 (No. 44)
One atom of each set of equivalent atoms:
1 Fe 0.0000 0.0000 0.0000 x2  6 As 2.47-2.56
2 Sb 0.0000 0.5000 0.6879 x2  2 Fe 2.80, 2 As 2.99
3 As 0.0000 0.0000 0.5073 x2  4 Fe 2.56, 2 As 2.82
4 As 0.0000 0.5000 0.3461 x2  2 Fe 2.47

volume: 19.58 Å³/atom
VASP energy: -5.26 eV per atom
formation energy without anion corrections: 214 meV/atom

=====

No. 2
Entry from Alexandria via LeMat-Bulk: a geometry-optimized FeSbAs2 structure (PBE-GGA).

Cell lengths 8.1159, 3.3551, 6.0731 Å; angles 90.00, 109.44, 90.00 degrees
With the nearest neighbours (Å) after each atom.
Space group Cm (No. 8)
One atom of each set of equivalent atoms:
1 Fe 0.0000 0.0000 0.0000 x2  5 As 2.37-2.44
2 Sb 0.3666 0.0000 0.6293 x2  2 Fe 2.73, 2 As 2.86-2.88
3 As 0.0604 0.5000 0.3084 x2  2 Fe 2.44, 1 As 2.61
4 As 0.2044 0.5000 0.9821 x2  3 Fe 2.37-2.39, 1 As 2.61

volume: 19.49 Å³/atom
VASP energy: -5.39 eV per atom
formation energy without anion corrections: 85 meV/atom

=====

No. 3
Entry from Alexandria via LeMat-Bulk: a geometry-optimized Fe4SbAs structure (PBE-GGA).

Cell lengths 7.0660, 7.0660, 7.0660 Å; angles 90.00, 90.00, 90.00 degrees
With the nearest neighbours (Å) after each atom.
Space group F-43m (No. 216)
One atom of each set of equivalent atoms:
1 Fe 0.1249 0.1249 0.1249 x16  6 Fe 2.50
2 Sb 0.0000 0.0000 0.5000 x4  12 Fe 2.93, 4 As 3.06
3 As 0.2500 0.2500 0.7500 x4  12 Fe 2.93, 4 Sb 3.06

volume: 14.70 Å³/atom
VASP energy: -6.84 eV per atom
formation energy without anion corrections: 261 meV/atom